## ZnNiSe (PBE)

Data for an optimized crystal structure of ZnNiSe.

Structure (POSCAR):
```
ZnNiSe
1.0
0.000 2.888 2.888
2.888 0.000 2.888
2.888 2.888 0.000
Zn Ni Se
1 1 1
Cartesian
0.000 0.000 0.000
1.444 1.444 1.444
2.888 2.888 2.888
```

Uncorrected formation energy   -0.192 eV per atom
E   -3.705 eV per atom
Symmetry   No. 216